{
  "formula": "Ba2SrGaH",
  "functional": "GGA-PBE",
  "state": "relaxed",
  "lattice_angstrom": [[5.5168, 0.0000, 0.0000], [0.0000, 5.5168, 0.0000], [0.0000, 0.0000, 5.3795]],
  "species": ["Sr", "Ba", "Ba", "Ga", "H"],
  "fractional_positions": [[0.0000, 0.0000, 0.5000], [0.0000, 0.5000, 0.0000], [0.5000, 0.0000, 0.0000], [0.5000, 0.5000, 0.5000], [0.0000, 0.0000, 0.0000]],
  "total_energy_ev_per_atom": -2.57,
  "density_g_cm3": 4.39,
  "space_group": "No. 123",
  "dos_at_fermi_per_ev_cell": 3.96
}

{
  "formula": "Ba2TlGaH",
  "functional": "GGA-PBE",
  "state": "relaxed",
  "lattice_angstrom": [[5.7914, 0.0000, 0.0000], [0.0000, 5.7914, 0.0000], [0.0000, 0.0000, 4.3935]],
  "species": ["H", "Tl", "Ba", "Ba", "Ga"],
  "fractional_positions": [[0.0000, 0.0000, 0.0000], [0.5000, 0.5000, 0.5000], [0.0000, 0.5000, 0.0000], [0.5000, 0.0000, 0.0000], [0.0000, 0.0000, 0.5000]],
  "polymorph_energy_mev_per_atom": 0,
  "density_g_cm3": 6.20,
  "space_group": "No. 123",
  "dos_at_fermi_per_ev_cell": 3.24
}

{
  "formula": "Ba2ZnGaH6",
  "functional": "GGA-PBE",
  "state": "relaxed",
  "lattice_angstrom": [[5.5222, -0.0001, 0.0009], [-0.0001, 5.5222, 0.0008], [2.7619, 2.7620, 4.5599]],
  "species": ["Ba", "Ba", "Zn", "Ga", "H", "H", "H", "H", "H", "H"],
  "fractional_positions": [[0.7500, 0.2500, 0.5000], [0.2500, 0.7500, 0.5000], [0.5000, 0.5000, 0.0000], [0.0000, 0.0000, 0.0000], [0.3071, 0.3071, 0.3858], [0.7411, 0.7412, 0.0000], [0.2588, 0.7411, 0.0000], [0.7412, 0.2589, 0.0000], [0.2589, 0.2588, 0.0000], [0.6929, 0.6929, 0.6142]],
  "total_energy_ev_per_atom": -2.97,
  "density_g_cm3": 4.97,
  "space_group": "No. 139",
  "dos_at_fermi_per_ev_cell": 2.87
}

{
  "formula": "BaHf3Ga",
  "functional": "GGA-PBE",
  "state": "relaxed",
  "lattice_angstrom": [[-1.1480, -4.8890, -1.3950], [3.2764, -1.8049, 3.6295], [-3.8876, -0.0775, 3.4709]],
  "species": ["Hf", "Hf", "Hf", "Ba", "Ga"],
  "fractional_positions": [[0.0000, 0.5000, 0.0000], [0.0000, 0.0000, 0.5000], [0.5000, 0.0000, 0.0000], [0.5000, 0.5000, 0.5000], [0.0000, 0.0000, 0.0000]],
  "ef_ev_per_atom": 0.69,
  "polymorph_energy_mev_per_atom": 0,
  "density_g_cm3": 8.71,
  "space_group": "No. 221",
  "dos_at_fermi_per_ev_cell": 14.09
}

{
  "formula": "BaHf2Ga2",
  "functional": "GGA-PBE",
  "state": "relaxed",
  "lattice_angstrom": [[8.6515, 0.0000, 0.0000], [0.0000, 8.6515, 0.0000], [0.0000, 0.0000, 3.0656]],
  "species": ["Hf", "Hf", "Hf", "Hf", "Ba", "Ba", "Ga", "Ga", "Ga", "Ga"],
  "fractional_positions": [[0.3744, 0.8744, 0.0000], [0.8744, 0.6256, 0.0000], [0.6256, 0.1256, 0.0000], [0.1256, 0.3744, 0.0000], [0.0000, 0.0000, 0.0000], [0.5000, 0.5000, 0.0000], [0.1661, 0.6661, 0.5000], [0.6661, 0.8339, 0.5000], [0.8339, 0.3339, 0.5000], [0.3339, 0.1661, 0.5000]],
  "ef_ev_per_atom": -0.10,
  "polymorph_energy_mev_per_atom": 0,
  "density_g_cm3": 9.17,
  "space_group": "No. 127",
  "dos_at_fermi_per_ev_cell": 7.67
}

{
  "formula": "BaHfGa2",
  "functional": "GGA-PBE",
  "state": "relaxed",
  "lattice_angstrom": [[3.6574, 0.0000, 0.0000], [0.0000, 3.6574, 0.0000], [0.0000, 0.0000, 7.4551]],
  "species": ["Hf", "Ba", "Ga", "Ga"],
  "fractional_positions": [[0.5000, 0.5000, 0.0000], [0.5000, 0.5000, 0.5000], [0.0000, 0.0000, 0.8212], [0.0000, 0.0000, 0.1788]],
  "ef_ev_per_atom": -0.26,
  "polymorph_energy_mev_per_atom": 0,
  "density_g_cm3": 7.58,
  "space_group": "No. 123",
  "dos_at_fermi_per_ev_cell": 2.59
}